Entry i
Computed, not measured: a geometry-optimized Bi2AsO4 structure at the PBE level of DFT.

The structure belongs to space group I4/mmm (No. 139); the cell edges are 3.707, 3.707 and 17.154 Å and the angles 90.00°, 90.00° and 90.00°. The distinct sites, in fractional coordinates, are Bi at (0.000, 0.000, 0.172), As at (0.000, 0.000, 0.500), O at (0.000, 0.000, 0.390) and O at (0.000, 0.500, 0.250).

The calculation puts the size of the total moment at 0.00 μB/f.u. Its crystal system is tetragonal. The calculation puts the volume at 235.7 Å³ per cell. Its density of states at the Fermi level is 0.329 states/eV per atom.

Entry ii
Computed, not measured: a geometry-optimized Bi2AsO4 structure at the PBE level of DFT.

The structure belongs to space group I-42m (No. 121); the cell edges are 6.486, 6.486 and 6.438 Å and the angles 90.00°, 90.00° and 90.00°. The distinct sites, in fractional coordinates, are Bi at (0.000, 0.500, 0.250), As at (0.000, 0.000, 0.000) and O at (0.154, 0.154, 0.835).

The calculation puts the size of the total moment at 0.00 μB/f.u. Its crystal system is tetragonal. The calculation puts the volume at 270.8 Å³ per cell. Its density of states at the Fermi level is 0.367 states/eV per atom.

The calculated energies rank the structures as follows, beginning with the most stable: entry ii, entry i.